# TlHgBiTe (PBE, optimized geometry)
# - Electronic total energy: -2.411 eV per atom
# - Calculated volume: 30.11 Å³ per atom
# - ΔE_f (raw): 0.05 eV per formula unit
# - D(E_F): 6.9 states/eV per cell
# - M_tot: 0.00 μB per cell
data_TlHgBiTe
_space_group_name_H-M_alt 'F -4 3 m'
_space_group_IT_number 216
_space_group_name_Hall 'F -4 2 3'
_cell_length_a 7.839
_cell_length_b 7.839
_cell_length_c 7.839
_cell_angle_alpha 90.00
_cell_angle_beta 90.00
_cell_angle_gamma 90.00
loop_
_atom_site_label
_atom_site_type_symbol
_atom_site_fract_x
_atom_site_fract_y
_atom_site_fract_z
Tl1 Tl 0.000 0.000 0.000
Hg1 Hg 0.250 0.250 0.250
Bi1 Bi 0.000 0.000 0.500
Te1 Te 0.250 0.250 0.750